Material: TmHgAsO
Method: DFT, PBE
State: optimized geometry

Computed properties:
SG: P4/nmm
spin magnetization: 0.00 μB/atom
final energy: -4.618 eV/atom

```
TmHgAsO
1.0
2.334 5.315 0.044
-5.204 2.275 1.201
0.894 -0.432 4.695
O Tm As Hg
2 2 2 2
Direct
0.750 0.250 0.001
0.250 0.750 0.001
0.750 0.250 0.499
0.250 0.750 0.499
0.250 0.250 0.504
0.750 0.750 0.496
0.250 0.250 0.005
0.750 0.750 0.996
```



Material: RbPuU
Method: DFT, PBE
State: optimized geometry

Computed properties:
SG: F-43m
spin magnetization: 4.14 μB/atom
final energy: -6.958 eV/atom

```
RbPuU
1.0
3.320 -1.978 4.046
-1.758 0.002 5.312
-1.251 -4.829 2.534
Rb U Pu
1 1 1
Direct
0.750 0.750 0.750
0.000 0.000 0.000
0.250 0.250 0.250
```



Material: PmAgSO
Method: DFT, PBE
State: optimized geometry

Computed properties:
SG: Pcca
spin magnetization: 0.00 μB/atom
final energy: -6.100 eV/atom

```
PmAgSO
1.0
5.575 0.000 0.000
0.000 9.280 0.000
0.000 0.000 5.656
S Ag Pm O
4 4 4 4
Direct
0.500 0.709 0.250
0.000 0.709 0.750
0.500 0.291 0.750
0.000 0.291 0.250
0.750 0.500 0.638
0.250 0.500 0.362
0.250 0.500 0.862
0.750 0.500 0.138
0.000 0.128 0.750
0.000 0.872 0.250
0.500 0.872 0.750
0.500 0.128 0.250
0.250 0.000 0.999
0.750 0.000 0.501
0.250 0.000 0.499
0.750 0.000 0.001
```



Material: MgAgSeO
Method: DFT, PBE
State: optimized geometry

Computed properties:
SG: P4/nmm
final energy: -3.267 eV/atom

```
MgAgSeO
1.0
-0.550 2.166 3.277
0.653 -3.213 2.233
9.495 2.081 0.219
Se Mg Ag O
2 2 2 2
Direct
0.250 0.250 0.177
0.750 0.750 0.823
0.750 0.250 0.000
0.250 0.750 0.000
0.750 0.750 0.391
0.250 0.250 0.609
0.750 0.750 0.619
0.250 0.250 0.381
```



Material: CsLiLu
Method: DFT, PBE
State: optimized geometry

Computed properties:
SG: F-43m
spin magnetization: 0.00 μB/atom
final energy: -1.265 eV/atom

```
CsLiLu
1.0
-0.059 -5.546 1.870
-2.119 -1.278 5.304
-5.080 -2.862 0.511
Lu Li Cs
1 1 1
Direct
0.750 0.750 0.750
0.250 0.250 0.250
0.000 0.000 0.000
```



Material: Pr2Al3Ga3
Method: DFT, PBE
State: optimized geometry

Computed properties:
SG: Pm
spin magnetization: 0.00 μB/atom
final energy: -4.249 eV/atom

```
Pr2Al3Ga3
1.0
6.539 0.000 0.000
0.000 4.550 0.000
-3.230 0.000 5.719
Al Ga Pr
3 3 2
Direct
0.141 0.000 0.865
0.860 0.500 0.135
0.720 0.000 0.866
0.138 0.000 0.286
0.859 0.500 0.715
0.284 0.500 0.135
0.333 0.500 0.662
0.665 0.000 0.337
```